w | A geometry-optimized PmDy2Zn2 structure, computed with PBE.

a = 5.269 Å, b = 15.363 Å, c = 6.236 Å
α = 90.00°, β = 90.00°, γ = 90.00°
Space group Cmc2_1 (No. 36)
Symmetry-distinct sites (fractional):
1 Pm 0.000 0.084 0.000 (multiplicity 4)
2 Dy 0.000 0.298 0.241 (multiplicity 4)
3 Dy 0.000 0.458 0.851 (multiplicity 4)
4 Zn 0.000 0.126 0.507 (multiplicity 4)
5 Zn 0.000 0.279 0.733 (multiplicity 4)

Values from the calculation:
Calculated density in g cm⁻³: 7.91
Total moment in μB/cell: 0.0

x | A geometry-optimized PmDy2Zn2 structure, computed with PBE.

a = 3.630 Å, b = 5.223 Å, c = 13.405 Å
α = 90.00°, β = 97.80°, γ = 90.00°
Space group P2_1/m (No. 11)
Symmetry-distinct sites (fractional):
1 Pm 0.144 0.250 0.286 (multiplicity 2)
2 Dy 0.046 0.750 0.093 (multiplicity 2)
3 Dy 0.232 0.750 0.465 (multiplicity 2)
4 Zn 0.360 0.250 0.720 (multiplicity 2)
5 Zn 0.453 0.750 0.906 (multiplicity 2)

Values from the calculation:
Calculated density in g cm⁻³: 7.93
Total moment in μB/cell: 0.0

Stability check: which of them is most stable? x.

w | A geometry-optimized PmDyZn4 structure, computed with PBE.

a = 7.786 Å, b = 7.786 Å, c = 7.786 Å
α = 90.00°, β = 90.00°, γ = 90.00°
Space group F-43m (No. 216)
Symmetry-distinct sites (fractional):
1 Pm 0.000 0.000 0.000 (multiplicity 4)
2 Dy 0.250 0.250 0.250 (multiplicity 4)
3 Zn 0.125 0.125 0.625 (multiplicity 16)

Values from the calculation:
Calculated density in g cm⁻³: 8.01
Total moment in μB/cell: 0.0

x | A geometry-optimized PmDyZn4 structure, computed with PBE.

a = 4.508 Å, b = 7.153 Å, c = 7.797 Å
α = 90.00°, β = 90.00°, γ = 90.00°
Space group Immm (No. 71)
Symmetry-distinct sites (fractional):
1 Pm 0.000 0.000 0.000 (multiplicity 2)
2 Dy 0.000 0.500 0.000 (multiplicity 2)
3 Zn 0.000 0.247 0.334 (multiplicity 8)

Values from the calculation:
Calculated density in g cm⁻³: 7.52
Total moment in μB/cell: 0.0

Stability check: which of them is most stable? x.